# 1
DFT (meta-GGA SCAN) results for MgZn3Cu2 at its PBEsol-relaxed geometry.

The crystal system is orthorhombic. For the energy of formation, the calculation gives -0.079 eV/atom. For the relative energy among the computed polymorphs, the calculation gives 2.0 kJ per mole of atoms.

It has space group Cmcm (No. 63), with a = 8.684 Å, b = 8.221 Å, c = 4.941 Å, α = 90.00°, β = 90.00° and γ = 90.00°. The asymmetric unit holds Mg at (0.000, 0.122, 0.250), Zn at (0.000, 0.482, 0.250), Zn at (0.169, 0.245, 0.750) and Cu at (0.248, 0.500, 0.000).


# 2
DFT (meta-GGA SCAN) results for MgZn3Cu2 at its PBEsol-relaxed geometry.

The crystal system is hexagonal. For the energy of formation, the calculation gives -0.100 eV/atom. For the relative energy among the computed polymorphs, the calculation gives 0.0 kJ per mole of atoms.

It has space group P6_3/mmc (No. 194), with a = 4.2183 Å, b = 4.2183 Å, c = 10.7345 Å, α = 90.00°, β = 90.00° and γ = 120.00°. The asymmetric unit holds Mg at (0.0000, 0.0000, 0.2500), Zn at (0.0000, 0.0000, 0.0000), Zn at (0.3333, 0.6667, 0.1088) and Cu at (0.3333, 0.6667, 0.6284).


# 3
DFT (meta-GGA SCAN) results for MgZn2Cu4 at its PBEsol-relaxed geometry.

The crystal system is tetragonal. For the energy of formation, the calculation gives -0.066 eV/atom. For the relative energy among the computed polymorphs, the calculation gives 0.0 kJ per mole of atoms.

It has space group I4/mcm (No. 140), with a = 7.106 Å, b = 7.106 Å, c = 7.765 Å, α = 90.00°, β = 90.00° and γ = 90.00°. The asymmetric unit holds Mg at (0.000, 0.000, 0.250), Zn at (0.152, 0.348, 0.000) and Cu at (0.146, 0.354, 0.332).


# 4
DFT (meta-GGA SCAN) results for MgZn2Cu at its PBEsol-relaxed geometry.

The crystal system is orthorhombic. For the energy of formation, the calculation gives -0.122 eV/atom.

It has space group Cmcm (No. 63), with a = 2.871 Å, b = 19.512 Å, c = 4.208 Å, α = 90.00°, β = 90.00° and γ = 90.00°. The asymmetric unit holds Mg at (0.000, 0.103, 0.250), Zn at (0.000, 0.268, 0.750), Zn at (0.000, 0.466, 0.250) and Cu at (0.000, 0.341, 0.250).


# 5
DFT (meta-GGA SCAN) results for MgZn8Cu4 at its PBEsol-relaxed geometry.

The crystal system is tetragonal. For the energy of formation, the calculation gives -0.065 eV/atom. For the relative energy among the computed polymorphs, the calculation gives 6.3 kJ per mole of atoms.

It has space group I4/m (No. 87), with a = 9.672 Å, b = 9.672 Å, c = 3.651 Å, α = 90.00°, β = 90.00° and γ = 90.00°. The asymmetric unit holds Mg at (0.000, 0.000, 0.000), Zn at (0.075, 0.619, 0.000), Zn at (0.155, 0.230, 0.000) and Cu at (0.037, 0.802, 0.500).


# 6
DFT (meta-GGA SCAN) results for Mg2ZnCu2 at its PBEsol-relaxed geometry.

The crystal system is monoclinic. For the energy of formation, the calculation gives -0.171 eV/atom.

It has space group C2/c (No. 15), with a = 8.739 Å, b = 5.080 Å, c = 7.188 Å, α = 90.00°, β = 104.53° and γ = 90.00°. The asymmetric unit holds Mg at (0.155, 0.136, 0.150), Zn at (0.000, 0.315, 0.750) and Cu at (0.129, 0.365, 0.493).


# 7
DFT (meta-GGA SCAN) results for Mg3Zn3Cu at its PBEsol-relaxed geometry.

The crystal system is hexagonal. For the energy of formation, the calculation gives -0.099 eV/atom.

It has space group P6_3/m (No. 176), with a = 7.5570 Å, b = 7.5570 Å, c = 4.5240 Å, α = 90.00°, β = 90.00° and γ = 120.00°. The asymmetric unit holds Mg at (0.0953, 0.4626, 0.2500), Zn at (0.0570, 0.2328, 0.7500) and Cu at (0.3333, 0.6667, 0.7500).


# 8
DFT (meta-GGA SCAN) results for MgZn2Cu at its PBEsol-relaxed geometry.

The crystal system is monoclinic. For the energy of formation, the calculation gives -0.062 eV/atom.

It has space group P2/m (No. 10), with a = 2.773 Å, b = 4.209 Å, c = 5.130 Å, α = 90.00°, β = 103.94° and γ = 90.00°. The asymmetric unit holds Mg at (0.000, 0.000, 0.000), Zn at (0.344, 0.500, 0.730) and Cu at (0.500, 0.000, 0.500).


# 9
DFT (meta-GGA SCAN) results for MgZnCu at its PBEsol-relaxed geometry.

The crystal system is hexagonal. For the energy of formation, the calculation gives -0.132 eV/atom.

It has space group P-6m2 (No. 187), with a = 4.2679 Å, b = 4.2679 Å, c = 2.8118 Å, α = 90.00°, β = 90.00° and γ = 120.00°. The asymmetric unit holds Mg at (0.0000, 0.0000, 0.0000), Zn at (0.6667, 0.3333, 0.5000) and Cu at (0.3333, 0.6667, 0.5000).


# 10
DFT (meta-GGA SCAN) results for Mg2Zn2Cu at its PBEsol-relaxed geometry.

The crystal system is monoclinic. For the energy of formation, the calculation gives -0.048 eV/atom. For the relative energy among the computed polymorphs, the calculation gives 10.8 kJ per mole of atoms.

It has space group C2/m (No. 12), with a = 10.193 Å, b = 2.979 Å, c = 5.977 Å, α = 90.00°, β = 113.13° and γ = 90.00°. The asymmetric unit holds Mg at (0.132, 0.000, 0.279), Zn at (0.164, 0.000, 0.825) and Cu at (0.000, 0.500, 0.500).


# 11
DFT (meta-GGA SCAN) results for Mg5ZnCu at its PBEsol-relaxed geometry.

The crystal system is tetragonal. For the energy of formation, the calculation gives -0.056 eV/atom.

It has space group P4/mmm (No. 123), with a = 4.413 Å, b = 4.413 Å, c = 6.990 Å, α = 90.00°, β = 90.00° and γ = 90.00°. The asymmetric unit holds Mg at (0.000, 0.000, 0.000), Mg at (0.000, 0.500, 0.288), Zn at (0.500, 0.500, 0.000) and Cu at (0.000, 0.000, 0.500).


# 12
DFT (meta-GGA SCAN) results for MgZn2Cu at its PBEsol-relaxed geometry.

The crystal system is orthorhombic. For the energy of formation, the calculation gives -0.104 eV/atom.

It has space group Pmmn (No. 59, origin choice 2), with a = 2.904 Å, b = 4.082 Å, c = 9.948 Å, α = 90.00°, β = 90.00° and γ = 90.00°. The asymmetric unit holds Mg at (0.250, 0.250, 0.217), Zn at (0.250, 0.250, 0.934), Zn at (0.250, 0.750, 0.531) and Cu at (0.250, 0.250, 0.682).


Among the records above, which one has the highest energy of formation?
Mg2Zn2Cu


Look up the energy of formation of the seventh one.
-0.099 eV/atom


Copy entry 6 word for word.
DFT (meta-GGA SCAN) results for Mg2ZnCu2 at its PBEsol-relaxed geometry.

The crystal system is monoclinic. For the energy of formation, the calculation gives -0.171 eV/atom.

It has space group C2/c (No. 15), with a = 8.739 Å, b = 5.080 Å, c = 7.188 Å, α = 90.00°, β = 104.53° and γ = 90.00°. The asymmetric unit holds Mg at (0.155, 0.136, 0.150), Zn at (0.000, 0.315, 0.750) and Cu at (0.129, 0.365, 0.493).


Copy entry 6 word for word.
DFT (meta-GGA SCAN) results for Mg2ZnCu2 at its PBEsol-relaxed geometry.

The crystal system is monoclinic. For the energy of formation, the calculation gives -0.171 eV/atom.

It has space group C2/c (No. 15), with a = 8.739 Å, b = 5.080 Å, c = 7.188 Å, α = 90.00°, β = 104.53° and γ = 90.00°. The asymmetric unit holds Mg at (0.155, 0.136, 0.150), Zn at (0.000, 0.315, 0.750) and Cu at (0.129, 0.365, 0.493).